# 1
A geometry-optimized Na2Cu5Si4 structure, computed with PBE.

- E_form (uncorrected) (meV/atom) = 17
- energy (eV per atom) = -4.057

a b c (Å): 5.2497 5.3192 7.7322
angles (deg): 80.36 70.16 60.43
Fractional coordinates of all 11 atoms:
Si1 0.4769 0.3034 0.7427
Cu1 0.2500 0.5000 0.5000
Cu2 0.0000 0.5000 0.0000
Cu3 0.5000 0.0000 0.0000
Cu4 0.5000 0.5000 0.0000
Na1 0.1400 0.0000 0.7200
Si2 0.7803 0.6966 0.7427
Na2 0.8600 0.0000 0.2799
Si3 0.2197 0.3034 0.2573
Cu5 0.7500 0.5000 0.5000
Si4 0.5231 0.6966 0.2573

---

# 2
A geometry-optimized La2MoP2 structure, computed with PBE.

- ΔE to the lowest computed polymorph (meV per atom) = 745.9
- energy of formation (eV per atom) = -0.046
- energy (eV per atom) = -6.347

a b c (Å): 3.5404 3.5404 9.4432
angles (deg): 79.20 79.20 90.00
Site moments in Bohr magnetons follow the coordinates.
Fractional coordinates of all 5 atoms:
La1 0.3889 0.3889 0.2221  0.02
La2 0.6111 0.6111 0.7779  0.02
P1 0.7500 0.2500 0.5000  0.01
P2 0.2500 0.7500 0.5000  0.01
Mo1 0.0000 0.0000 0.0000  1.32